#1
The following is a GGA-PBE calculation of crystalline YTaHg2 at its relaxed geometry, from Alexandria via LeMat-Bulk.

For the density of states at the Fermi level, the calculation gives 2.9 states/eV/f.u. The calculation puts the volume at 22.0 Å³/atom.

The structure belongs to space group P4/mmm (No. 123); the cell edges are 4.5577, 4.5577 and 4.2354 Å and the angles 90.00°, 90.00° and 90.00°. The asymmetric unit holds Y at (0.0000, 0.0000, 0.0000), Ta at (0.5000, 0.5000, 0.0000) and Hg at (0.0000, 0.5000, 0.5000).

---

#2
The following is a GGA-PBE calculation of crystalline YTaHg2 at its relaxed geometry, from Alexandria via LeMat-Bulk.

For the density of states at the Fermi level, the calculation gives 3.3 states/eV/f.u. The calculation puts the volume at 22.2 Å³/atom.

The structure belongs to space group Cm (No. 8); the cell edges are 11.5266, 3.1799 and 5.3817 Å and the angles 90.00°, 115.55° and 90.00°. The asymmetric unit holds Y at (0.0000, 0.0000, 0.0000), Ta at (0.2495, 0.5000, 0.3777), Hg at (0.2412, 0.0000, 0.8619) and Hg at (0.4904, 0.0000, 0.4762).

---

#3
The following is a GGA-PBE calculation of crystalline YTaHg2 at its relaxed geometry, from Alexandria via LeMat-Bulk.

For the density of states at the Fermi level, the calculation gives 3.1 states/eV/f.u. The calculation puts the volume at 23.4 Å³/atom.

The structure belongs to space group R3m (No. 160, hexagonal axes); the cell edges are 3.3293, 3.3293 and 29.2356 Å and the angles 90.00°, 90.00° and 120.00°. The asymmetric unit holds Y at (0.0000, 0.0000, 0.0000), Ta at (0.0000, 0.0000, 0.7498), Hg at (0.0000, 0.0000, 0.2452) and Hg at (0.0000, 0.0000, 0.4944).

---

#4
The following is a GGA-PBE calculation of crystalline YTaHg2 at its relaxed geometry, from Alexandria via LeMat-Bulk.

For the density of states at the Fermi level, the calculation gives 3.9 states/eV/f.u. The calculation puts the volume at 21.7 Å³/atom.

The structure belongs to space group Cmmm (No. 65); the cell edges are 6.4417, 8.4709 and 3.1840 Å and the angles 90.00°, 90.00° and 90.00°. The asymmetric unit holds Y at (0.0000, 0.0000, 0.0000), Ta at (0.0000, 0.5000, 0.0000) and Hg at (0.2500, 0.2500, 0.5000).

---

Stability check: which of them is least stable? #3.